Record 1
A geometry-optimized Dy2PtRh2 structure, computed with GGA-PBE.

V ... 199.7 Å³/cell
Calculated formation energy ... -0.905 eV/atom

Cell: 4.5218 5.5105 8.0131 Å, 90.00 90.00 90.00°
With the nearest neighbours (Å) after each atom.
Space group Immm (No. 71)
Symmetry-distinct sites (fractional):
Dy 0.0000 0.0000 0.2043 [4 per cell]  6 Rh 2.78-3.08
Pt 0.0000 0.5000 0.0000 [2 per cell]  4 Rh 2.68
Rh 0.0000 0.2624 0.5000 [4 per cell]  2 Rh 2.62-2.89, 2 Pt 2.68, 2 Dy 2.78


Record 2
A geometry-optimized NdSm3Mg6 structure, computed with GGA-PBE.

V ... 552.1 Å³/cell
Calculated formation energy ... -0.084 eV/atom

Cell: 9.4136 5.3413 11.4129 Å, 90.00 105.83 90.00°
With the nearest neighbours (Å) after each atom.
Space group P2_1/m (No. 11)
Symmetry-distinct sites (fractional):
Nd 0.0532 0.2500 0.3934 [2 per cell]  8 Mg 3.22-3.41
Sm 0.2452 0.2500 0.9959 [2 per cell]  8 Mg 3.25-3.41
Sm 0.3512 0.7500 0.7948 [2 per cell]  8 Mg 3.31-3.41
Sm 0.4612 0.2500 0.6049 [2 per cell]  8 Mg 3.25-3.44
Mg 0.0479 0.7500 0.9030 [2 per cell]  3 Mg 3.20-3.26, 1 Nd 3.25, 4 Sm 3.26-3.41
Mg 0.1440 0.2500 0.6987 [2 per cell]  3 Nd 3.26-3.35, 4 Sm 3.26-3.44, 1 Mg 3.28
Mg 0.1462 0.7500 0.1943 [2 per cell]  8 Mg 3.20-3.28
Mg 0.2444 0.7500 0.4912 [2 per cell]  3 Nd 3.24-3.41, 4 Sm 3.25-3.40, 1 Mg 3.26
Mg 0.3406 0.2500 0.2923 [2 per cell]  1 Nd 3.22, 5 Sm 3.25-3.44, 2 Mg 3.26
Mg 0.4415 0.7500 0.0989 [2 per cell]  1 Mg 3.25, 7 Sm 3.25-3.41


Record 3
A geometry-optimized BeRhCl2 structure, computed with GGA-PBE.

V ... 151.8 Å³/cell
Energy relative to the elements, uncorrected ... -0.230 eV per atom
Relative energy among the computed polymorphs ... 0.1532 eV per atom

Cell: 2.9969 5.8030 8.7292 Å, 90.00 90.00 90.00°
With the nearest neighbours (Å) after each atom.
Space group Cmm2 (No. 35)
Symmetry-distinct sites (fractional):
Be 0.0000 0.0000 0.0000 [2 per cell]  2 Cl 2.02
Rh 0.0000 0.5000 0.2217 [2 per cell]  2 Cl 2.33, 2 Be 2.45
Cl 0.0000 0.0000 0.4262 [2 per cell]  2 Rh 2.33
Cl 0.0000 0.5000 0.8444 [2 per cell]  2 Be 2.02


Record 4
A geometry-optimized LaTiB12 structure, computed with GGA-PBE.

V ... 139.4 Å³/cell
Calculated formation energy ... -0.218 eV/atom

Cell: 4.1219 4.1219 8.2055 Å, 90.00 90.00 90.00°
With the nearest neighbours (Å) after each atom.
Space group P4/mmm (No. 123)
Symmetry-distinct sites (fractional):
La 0.0000 0.0000 0.0000 [1 per cell]  24 B 3.03-3.04
Ti 0.0000 0.0000 0.5000 [1 per cell]  24 B 3.00-3.02
B 0.1992 0.5000 0.2539 [8 per cell]  5 B 1.64-1.76
B 0.5000 0.5000 0.1017 [2 per cell]  5 B 1.67-1.76
B 0.5000 0.5000 0.4022 [2 per cell]  5 B 1.61-1.74